[1]
Here is a relaxed Rb2HoPu3O12 crystal from Alexandria via LeMat-Bulk. Energies are from PBE-GGA.

Values from the calculation:
**Electronic total energy**: -8.61 eV per atom

Cell lengths 7.715, 7.715, 7.715 Å; angles 62.12, 62.12, 62.12 degrees
Each line ends with the local moment (μB).
Positions (direct):
Pu 0.500 0.000 0.000  2.12
Pu 0.000 0.000 0.500  2.12
Pu 0.000 0.500 0.000  2.12
Rb 0.630 0.630 0.630  0.00
Rb 0.370 0.370 0.370  0.00
O 0.689 0.689 0.067  -0.12
O 0.340 0.927 0.927  -0.09
O 0.660 0.073 0.073  -0.09
O 0.311 0.311 0.933  -0.12
O 0.927 0.927 0.340  -0.09
O 0.067 0.689 0.689  -0.12
O 0.073 0.660 0.073  -0.09
O 0.689 0.067 0.689  -0.12
O 0.927 0.340 0.927  -0.09
O 0.933 0.311 0.311  -0.12
O 0.073 0.073 0.660  -0.09
O 0.311 0.933 0.311  -0.12
Ho 0.000 0.000 0.000  -0.03

[2]
Here is a relaxed PuTh2ScSe4 crystal from Alexandria via LeMat-Bulk. Energies are from PBE-GGA.

Values from the calculation:
**Electronic total energy**: -7.72 eV per atom

Cell lengths 4.033, 7.331, 6.985 Å; angles 71.51, 90.00, 90.00 degrees
Each line ends with the local moment (μB).
Positions (direct):
Sc 0.500 0.500 0.000  0.07
Se 0.500 0.268 0.753  -0.03
Se 0.000 0.273 0.233  -0.02
Se 0.500 0.732 0.247  -0.03
Se 0.000 0.727 0.767  -0.02
Th 0.000 0.000 0.000  -0.06
Th 0.500 0.000 0.500  -0.03
Pu 0.000 0.500 0.500  5.34

[3]
Here is a relaxed LaCuRh crystal from Alexandria via LeMat-Bulk. Energies are from PBE-GGA.

Values from the calculation:
**ΔE_f**: -0.23 eV per atom
**Electronic total energy**: -5.69 eV per atom

Cell lengths 4.603, 4.603, 4.603 Å; angles 60.00, 60.00, 60.00 degrees
Positions (direct):
La 0.500 0.500 0.500
Cu 0.000 0.000 0.000
Rh 0.750 0.750 0.750

[4]
Here is a relaxed NaBr2N crystal from Alexandria via LeMat-Bulk. Energies are from PBE-GGA.

Values from the calculation:
**Electronic total energy**: -2.88 eV per atom

Cell lengths 7.858, 7.858, 7.858 Å; angles 33.97, 33.97, 33.97 degrees
Each line ends with the local moment (μB).
Positions (direct):
N 0.000 0.000 0.000  1.24
Br 0.900 0.900 0.900  0.06
Br 0.100 0.100 0.100  0.06
Na 0.500 0.500 0.500  0.00

[5]
Here is a relaxed Mo3Ru crystal from Alexandria via LeMat-Bulk. Energies are from PBE-GGA.

Values from the calculation:
**ΔE_f**: 0.10 eV per atom
**Electronic total energy**: -10.34 eV per atom

Cell lengths 2.738, 4.402, 5.204 Å; angles 90.00, 79.52, 90.00 degrees
Positions (direct):
Mo 0.472 0.000 0.499
Mo 0.250 0.500 0.250
Mo 0.028 0.000 0.001
Ru 0.750 0.500 0.750

[6]
Here is a relaxed VGaRh4 crystal from Alexandria via LeMat-Bulk. Energies are from PBE-GGA.

Values from the calculation:
**ΔE_f**: -0.17 eV per atom
**Electronic total energy**: -7.10 eV per atom

Cell lengths 4.042, 4.043, 5.847 Å; angles 89.96, 89.98, 90.00 degrees
Positions (direct):
Rh 0.501 0.998 0.742
Rh 0.501 0.997 0.255
Rh 0.001 0.497 0.742
Rh 0.001 0.497 0.255
V 0.001 0.997 0.498
Ga 0.501 0.497 0.998

[7]
Here is a relaxed KYP2Pd4 crystal from Alexandria via LeMat-Bulk. Energies are from PBE-GGA.

Values from the calculation:
**ΔE_f**: -0.59 eV per atom
**Electronic total energy**: -5.48 eV per atom

Cell lengths 4.132, 4.132, 10.381 Å; angles 90.00, 90.00, 90.00 degrees
Positions (direct):
P 0.500 0.500 0.694
P 0.500 0.500 0.306
Pd 0.000 0.500 0.201
Pd 0.500 0.000 0.799
Pd 0.000 0.500 0.799
Pd 0.500 0.000 0.201
K 0.000 0.000 0.500
Y 0.000 0.000 0.000

[8]
Here is a relaxed Na5AgHg6 crystal from Alexandria via LeMat-Bulk. Energies are from PBE-GGA.

Values from the calculation:
**ΔE_f**: -0.20 eV per atom
**Electronic total energy**: -1.14 eV per atom

Cell lengths 5.201, 7.416, 8.983 Å; angles 114.39, 107.56, 89.98 degrees
Positions (direct):
Na 0.676 0.177 0.354
Na 0.662 0.663 0.326
Na 0.338 0.337 0.674
Na 0.324 0.823 0.646
Na 0.000 0.500 0.000
Hg 0.840 0.075 0.681
Hg 0.160 0.925 0.319
Hg 0.159 0.394 0.319
Hg 0.500 0.226 0.000
Hg 0.841 0.606 0.681
Hg 0.500 0.774 0.000
Ag 0.000 0.000 0.000